1.
! Fe2Ni14H9 (PBE, relaxed); values from VASP
&SYSTEM
  ibrav = 0, nat = 25, ntyp = 3
/
ATOMIC_SPECIES
Ni 58.69 Ni.upf
H 1.01 H.upf
Fe 55.84 Fe.upf
CELL_PARAMETERS angstrom
6.3790 0.0000 0.0000
-3.1895 5.5244 0.0000
0.0000 0.0000 5.8613
ATOMIC_POSITIONS crystal
Ni 0.3903 0.0849 0.0757
Ni 0.6946 0.6097 0.0757
Ni 0.0849 0.6946 0.9243
Ni 0.5826 0.6904 0.5874
Ni 0.0000 0.0000 0.7304
Ni 0.9151 0.3054 0.0757
H 0.2578 0.2661 0.6572
H 0.7339 0.9917 0.6572
H 0.6667 0.3333 0.0844
Ni 0.8922 0.5826 0.4126
Fe 0.6667 0.3333 0.7531
H 0.0000 0.0000 0.0000
Ni 0.6097 0.9151 0.9243
H 0.7422 0.7339 0.3428
H 0.2661 0.0083 0.3428
Ni 0.4174 0.3096 0.4126
Ni 0.6904 0.1078 0.4126
Fe 0.3333 0.6667 0.2469
H 0.0083 0.7422 0.6572
Ni 0.0000 0.0000 0.2696
Ni 0.3096 0.8922 0.5874
Ni 0.1078 0.4174 0.5874
H 0.3333 0.6667 0.9156
Ni 0.3054 0.3903 0.9243
H 0.9917 0.2578 0.3428
! - total magnetization (μB per formula unit) = 8.79
! - total energy (eV per atom) = -4.993
! - volume (Å³/atom) = 8.26

---

2.
! Fe2NiH (PBE, relaxed); values from VASP
&SYSTEM
  ibrav = 0, nat = 8, ntyp = 3
/
ATOMIC_SPECIES
Fe 55.84 Fe.upf
H 1.01 H.upf
Ni 58.69 Ni.upf
CELL_PARAMETERS angstrom
-1.4018 -0.6680 3.4077
2.2209 -0.9647 0.7244
3.7526 7.8229 -1.0866
ATOMIC_POSITIONS crystal
Fe 0.9840 0.5000 0.3954
H 0.4023 0.5000 0.5762
Ni 0.3317 0.5000 0.7482
Fe 0.6961 0.5000 0.0700
Ni 0.3317 0.0000 0.2482
H 0.4023 0.0000 0.0762
Fe 0.9840 0.0000 0.8954
Fe 0.6961 0.0000 0.5700
! - total magnetization (μB per formula unit) = 5.38
! - total energy (eV per atom) = -6.453
! - volume (Å³/atom) = 9.32

---

3.
! FeNiH2 (PBE, relaxed); values from VASP
&SYSTEM
  ibrav = 0, nat = 4, ntyp = 3
/
ATOMIC_SPECIES
H 1.01 H.upf
Ni 58.69 Ni.upf
Fe 55.84 Fe.upf
CELL_PARAMETERS angstrom
-3.3011 0.0169 0.9908
-1.6343 2.9933 0.4983
-2.4541 1.0105 -2.1990
ATOMIC_POSITIONS crystal
H 0.7500 0.7500 0.7500
H 0.2500 0.2500 0.2500
Ni 0.5000 0.5000 0.5000
Fe 0.0000 0.0000 0.0000
! - total magnetization (μB per formula unit) = 2.97
! - total energy (eV per atom) = -4.812
! - volume (Å³/atom) = 7.24

---

4.
! NpFeNi4H8 (PBE, relaxed); values from VASP
&SYSTEM
  ibrav = 0, nat = 14, ntyp = 4
/
ATOMIC_SPECIES
Ni 58.69 Ni.upf
H 1.01 H.upf
Fe 55.84 Fe.upf
Np 237.00 Np.upf
CELL_PARAMETERS angstrom
5.2972 0.0000 0.0000
2.6486 4.5875 0.0000
2.6486 1.5292 4.3698
ATOMIC_POSITIONS crystal
Ni 0.5126 0.9978 0.4918
Ni 0.9978 0.9978 0.4918
H 0.2142 0.2142 0.3574
Ni 0.9978 0.5126 0.4918
Ni 0.6255 0.6255 0.1234
H 0.2294 0.7577 0.2552
Fe 0.9982 0.9982 0.0053
H 0.8580 0.2088 0.7244
H 0.7597 0.7597 0.7208
H 0.7577 0.2294 0.2552
Np 0.3737 0.3737 0.8790
H 0.7577 0.7577 0.2552
H 0.2088 0.2088 0.7244
H 0.2088 0.8580 0.7244
! - total magnetization (μB per formula unit) = 2.93
! - total energy (eV per atom) = -5.091
! - volume (Å³/atom) = 7.58

---

5.
! NpFeNiH6 (PBE, relaxed); values from VASP
&SYSTEM
  ibrav = 0, nat = 9, ntyp = 4
/
ATOMIC_SPECIES
H 1.01 H.upf
Np 237.00 Np.upf
Fe 55.84 Fe.upf
Ni 58.69 Ni.upf
CELL_PARAMETERS angstrom
-4.3277 0.2273 -0.3444
-1.9975 -1.7066 -3.4636
-0.3491 -3.6312 1.9905
ATOMIC_POSITIONS crystal
H 0.4993 0.0012 0.2356
H 0.0011 0.4994 0.7644
H 0.4995 0.0012 0.7644
Np 0.0000 0.0000 0.0000
Fe 0.3333 0.3333 0.5000
Ni 0.6666 0.6667 0.5000
H 0.4995 0.4994 0.2356
H 0.4993 0.4995 0.7644
H 0.0011 0.4995 0.2356
! - total magnetization (μB per formula unit) = 1.89
! - total energy (eV per atom) = -5.417
! - volume (Å³/atom) = 7.56

---

6.
! Fe2NiHOs (PBE, relaxed); values from VASP
&SYSTEM
  ibrav = 0, nat = 5, ntyp = 4
/
ATOMIC_SPECIES
Os 190.23 Os.upf
Ni 58.69 Ni.upf
H 1.01 H.upf
Fe 55.84 Fe.upf
CELL_PARAMETERS angstrom
3.6721 0.0000 0.0000
0.0000 3.6721 0.0000
0.0000 0.0000 3.6501
ATOMIC_POSITIONS crystal
Os 0.5000 0.5000 0.5000
Ni 0.0000 0.0000 0.5000
H 0.0000 0.0000 0.0000
Fe 0.0000 0.5000 0.0000
Fe 0.5000 0.0000 0.0000
! - total magnetization (μB per formula unit) = 3.94
! - total energy (eV per atom) = -7.314
! - volume (Å³/atom) = 9.84

---

7.
! PaFe2NiH8 (PBE, relaxed); values from VASP
&SYSTEM
  ibrav = 0, nat = 12, ntyp = 4
/
ATOMIC_SPECIES
Fe 55.84 Fe.upf
H 1.01 H.upf
Ni 58.69 Ni.upf
Pa 231.04 Pa.upf
CELL_PARAMETERS angstrom
-2.0837 -3.8300 1.1154
3.8878 -0.1300 -2.2633
3.1409 -0.1352 5.4031
ATOMIC_POSITIONS crystal
Fe 0.3333 0.6667 0.7953
H 0.8674 0.7348 0.1930
H 0.7348 0.8674 0.8070
H 0.8674 0.1326 0.1930
H 0.3333 0.6667 0.5348
H 0.1326 0.8674 0.8070
Fe 0.6667 0.3333 0.2047
H 0.1326 0.2652 0.8070
Ni 0.0000 0.0000 0.0000
H 0.6667 0.3333 0.4652
H 0.2652 0.1326 0.1930
Pa 0.0000 0.0000 0.5000
! - total magnetization (μB per formula unit) = 2.91
! - total energy (eV per atom) = -4.798
! - volume (Å³/atom) = 9.14

---

8.
! FeNi2HPd (PBE, relaxed); values from VASP
&SYSTEM
  ibrav = 0, nat = 5, ntyp = 4
/
ATOMIC_SPECIES
H 1.01 H.upf
Pd 106.42 Pd.upf
Ni 58.69 Ni.upf
Fe 55.84 Fe.upf
CELL_PARAMETERS angstrom
3.6802 0.0000 0.0000
0.0000 3.6802 0.0000
0.0000 0.0000 3.8049
ATOMIC_POSITIONS crystal
H 0.0000 0.0000 0.0000
Pd 0.5000 0.5000 0.5000
Ni 0.5000 0.0000 0.0000
Fe 0.0000 0.0000 0.5000
Ni 0.0000 0.5000 0.0000
! - total magnetization (μB per formula unit) = 4.27
! - total energy (eV per atom) = -5.728
! - volume (Å³/atom) = 10.31

---

9.
! FeNiHPd2 (PBE, relaxed); values from VASP
&SYSTEM
  ibrav = 0, nat = 5, ntyp = 4
/
ATOMIC_SPECIES
Pd 106.42 Pd.upf
H 1.01 H.upf
Ni 58.69 Ni.upf
Fe 55.84 Fe.upf
CELL_PARAMETERS angstrom
-2.1968 0.5188 -3.1514
-0.4082 -3.8392 -0.3474
-3.1286 0.1333 2.2029
ATOMIC_POSITIONS crystal
Pd 0.0000 0.5000 0.0000
H 0.0000 0.0000 0.0000
Pd 0.5000 0.0000 0.0000
Ni 0.5000 0.5000 0.5000
Fe 0.0000 0.0000 0.5000
! - total magnetization (μB per formula unit) = 4.30
! - total energy (eV per atom) = -5.575
! - volume (Å³/atom) = 11.51

---

10.
! FeNi2HPd (PBE, relaxed); values from VASP
&SYSTEM
  ibrav = 0, nat = 5, ntyp = 4
/
ATOMIC_SPECIES
H 1.01 H.upf
Pd 106.42 Pd.upf
Ni 58.69 Ni.upf
Fe 55.84 Fe.upf
CELL_PARAMETERS angstrom
3.6986 0.0000 0.0000
0.0000 3.6986 0.0000
0.0000 0.0000 3.8321
ATOMIC_POSITIONS crystal
H 0.0000 0.0000 0.0000
Pd 0.0000 0.0000 0.5000
Ni 0.5000 0.0000 0.0000
Ni 0.0000 0.5000 0.0000
Fe 0.5000 0.5000 0.5000
! - total magnetization (μB per formula unit) = 4.51
! - total energy (eV per atom) = -5.726
! - volume (Å³/atom) = 10.48

---

11.
! FeNiHPd2 (PBE, relaxed); values from VASP
&SYSTEM
  ibrav = 0, nat = 5, ntyp = 4
/
ATOMIC_SPECIES
H 1.01 H.upf
Pd 106.42 Pd.upf
Fe 55.84 Fe.upf
Ni 58.69 Ni.upf
CELL_PARAMETERS angstrom
3.9543 0.0000 0.0000
0.0000 3.9543 0.0000
0.0000 0.0000 3.6730
ATOMIC_POSITIONS crystal
H 0.0000 0.0000 0.0000
Pd 0.0000 0.5000 0.0000
Fe 0.5000 0.5000 0.5000
Ni 0.0000 0.0000 0.5000
Pd 0.5000 0.0000 0.0000
! - total magnetization (μB per formula unit) = 4.42
! - total energy (eV per atom) = -5.629
! - volume (Å³/atom) = 11.49

---

12.
! Fe2NiHPt (PBE, relaxed); values from VASP
&SYSTEM
  ibrav = 0, nat = 5, ntyp = 4
/
ATOMIC_SPECIES
H 1.01 H.upf
Ni 58.69 Ni.upf
Fe 55.84 Fe.upf
Pt 195.08 Pt.upf
CELL_PARAMETERS angstrom
3.7369 0.0000 0.0000
0.0000 3.7369 0.0000
0.0000 0.0000 3.8293
ATOMIC_POSITIONS crystal
H 0.0000 0.0000 0.0000
Ni 0.5000 0.5000 0.5000
Fe 0.0000 0.5000 0.0000
Fe 0.5000 0.0000 0.0000
Pt 0.0000 0.0000 0.5000
! - total magnetization (μB per formula unit) = 6.51
! - total energy (eV per atom) = -6.476
! - volume (Å³/atom) = 10.70

---

13.
! FeNiHPt2 (PBE, relaxed); values from VASP
&SYSTEM
  ibrav = 0, nat = 5, ntyp = 4
/
ATOMIC_SPECIES
Ni 58.69 Ni.upf
H 1.01 H.upf
Pt 195.08 Pt.upf
Fe 55.84 Fe.upf
CELL_PARAMETERS angstrom
3.9004 0.0000 0.0000
0.0000 3.9004 0.0000
0.0000 0.0000 3.8381
ATOMIC_POSITIONS crystal
Ni 0.5000 0.5000 0.5000
H 0.0000 0.0000 0.0000
Pt 0.5000 0.0000 0.0000
Fe 0.0000 0.0000 0.5000
Pt 0.0000 0.5000 0.0000
! - total magnetization (μB per formula unit) = 4.52
! - total energy (eV per atom) = -5.956
! - volume (Å³/atom) = 11.68

---

14.
! Fe2NiHPt (PBE, relaxed); values from VASP
&SYSTEM
  ibrav = 0, nat = 5, ntyp = 4
/
ATOMIC_SPECIES
Ni 58.69 Ni.upf
Fe 55.84 Fe.upf
Pt 195.08 Pt.upf
H 1.01 H.upf
CELL_PARAMETERS angstrom
-0.1721 0.0797 -3.7286
-1.2704 -3.5106 -0.0164
-3.5358 1.2787 0.1906
ATOMIC_POSITIONS crystal
Ni 0.0000 0.0000 0.5000
Fe 0.5000 0.0000 0.0000
Fe 0.0000 0.5000 0.0000
Pt 0.5000 0.5000 0.5000
H 0.0000 0.0000 0.0000
! - total magnetization (μB per formula unit) = 6.32
! - total energy (eV per atom) = -6.544
! - volume (Å³/atom) = 10.50

---

15.
! FeNiHPt2 (PBE, relaxed); values from VASP
&SYSTEM
  ibrav = 0, nat = 5, ntyp = 4
/
ATOMIC_SPECIES
Pt 195.08 Pt.upf
Fe 55.84 Fe.upf
H 1.01 H.upf
Ni 58.69 Ni.upf
CELL_PARAMETERS angstrom
3.9634 0.0000 0.0000
0.0000 3.9634 0.0000
0.0000 0.0000 3.7113
ATOMIC_POSITIONS crystal
Pt 0.5000 0.0000 0.0000
Fe 0.5000 0.5000 0.5000
Pt 0.0000 0.5000 0.0000
H 0.0000 0.0000 0.0000
Ni 0.0000 0.0000 0.5000
! - total magnetization (μB per formula unit) = 4.48
! - total energy (eV per atom) = -6.006
! - volume (Å³/atom) = 11.66

---

16.
! Fe2ReNiH (PBE, relaxed); values from VASP
&SYSTEM
  ibrav = 0, nat = 5, ntyp = 4
/
ATOMIC_SPECIES
H 1.01 H.upf
Fe 55.84 Fe.upf
Re 186.21 Re.upf
Ni 58.69 Ni.upf
CELL_PARAMETERS angstrom
3.6334 0.0000 0.0000
0.0000 3.6334 0.0000
0.0000 0.0000 3.8067
ATOMIC_POSITIONS crystal
H 0.0000 0.0000 0.0000
Fe 0.0000 0.5000 0.0000
Re 0.0000 0.0000 0.5000
Fe 0.5000 0.0000 0.0000
Ni 0.5000 0.5000 0.5000
! - total magnetization (μB per formula unit) = 3.39
! - total energy (eV per atom) = -7.540
! - volume (Å³/atom) = 10.05

---

17.
! Fe2ReNiH (PBE, relaxed); values from VASP
&SYSTEM
  ibrav = 0, nat = 5, ntyp = 4
/
ATOMIC_SPECIES
Fe 55.84 Fe.upf
Re 186.21 Re.upf
Ni 58.69 Ni.upf
H 1.01 H.upf
CELL_PARAMETERS angstrom
3.6837 0.0000 0.0000
0.0000 3.6837 0.0000
0.0000 0.0000 3.5669
ATOMIC_POSITIONS crystal
Fe 0.5000 0.0000 0.0000
Re 0.5000 0.5000 0.5000
Ni 0.0000 0.0000 0.5000
Fe 0.0000 0.5000 0.0000
H 0.0000 0.0000 0.0000
! - total magnetization (μB per formula unit) = 1.77
! - total energy (eV per atom) = -7.589
! - volume (Å³/atom) = 9.68

---

18.
! FeReNi2H (PBE, relaxed); values from VASP
&SYSTEM
  ibrav = 0, nat = 5, ntyp = 4
/
ATOMIC_SPECIES
Fe 55.84 Fe.upf
H 1.01 H.upf
Ni 58.69 Ni.upf
Re 186.21 Re.upf
CELL_PARAMETERS angstrom
-1.8476 -0.2175 -3.0821
-2.1171 -2.5264 1.4474
-2.4401 2.7707 1.2672
ATOMIC_POSITIONS crystal
Fe 0.5000 0.5000 0.5000
H 0.0000 0.0000 0.0000
Ni 0.0000 0.5000 0.0000
Ni 0.5000 0.0000 0.0000
Re 0.0000 0.0000 0.5000
! - total magnetization (μB per formula unit) = 2.15
! - total energy (eV per atom) = -7.001
! - volume (Å³/atom) = 10.12

---

19.
! FeReNi2H (PBE, relaxed); values from VASP
&SYSTEM
  ibrav = 0, nat = 5, ntyp = 4
/
ATOMIC_SPECIES
H 1.01 H.upf
Ni 58.69 Ni.upf
Re 186.21 Re.upf
Fe 55.84 Fe.upf
CELL_PARAMETERS angstrom
-2.2893 -1.1058 -2.5272
2.7290 -0.4284 -2.2846
0.4282 -3.5966 1.1859
ATOMIC_POSITIONS crystal
H 0.0000 0.0000 0.0000
Ni 0.5000 0.0000 0.0000
Re 0.5000 0.5000 0.5000
Fe 0.0000 0.0000 0.5000
Ni 0.0000 0.5000 0.0000
! - total magnetization (μB per formula unit) = 1.20
! - total energy (eV per atom) = -6.998
! - volume (Å³/atom) = 9.80

---

20.
! FeNi2HRh (PBE, relaxed); values from VASP
&SYSTEM
  ibrav = 0, nat = 5, ntyp = 4
/
ATOMIC_SPECIES
Ni 58.69 Ni.upf
Fe 55.84 Fe.upf
Rh 102.91 Rh.upf
H 1.01 H.upf
CELL_PARAMETERS angstrom
-0.8034 0.6368 3.4774
-3.1952 -1.6568 -0.4348
1.6049 -3.3537 0.9850
ATOMIC_POSITIONS crystal
Ni 0.0000 0.5000 0.0000
Fe 0.0000 0.0000 0.5000
Rh 0.5000 0.5000 0.5000
Ni 0.5000 0.0000 0.0000
H 0.0000 0.0000 0.0000
! - total magnetization (μB per formula unit) = 4.66
! - total energy (eV per atom) = -6.154
! - volume (Å³/atom) = 10.11